No. 1
# Tb2Pm3Y3 PBE optimized geometry
# DFT formation energy: 0.02 eV per atom
# magnetic moment: 0.0 μB/cell
# Fermi-level density of states: 12.18 states/eV/f.u.
data_Tb2Pm3Y3
_cell_length_a 5.086
_cell_length_b 5.091
_cell_length_c 20.359
_cell_angle_alpha 90.00
_cell_angle_beta 90.00
_cell_angle_gamma 90.00
_symmetry_space_group_name_H-M 'I m m m'
_symmetry_Int_Tables_number 71
_symmetry_space_group_name_Hall '-I 2 2'
loop_
_atom_site_label
_atom_site_type_symbol
_atom_site_fract_x
_atom_site_fract_y
_atom_site_fract_z
Tb1 Tb 0.000 0.000 0.250
Pm1 Pm 0.000 0.000 0.000
Pm2 Pm 0.000 0.500 0.125
Y1 Y 0.000 0.000 0.500
Y2 Y 0.000 0.500 0.374

---

No. 2
# Tb2Pm4Y PBE optimized geometry
# DFT formation energy: 0.17 eV per atom
# magnetic moment: 0.0 μB/cell
# Fermi-level density of states: 8.87 states/eV/f.u.
data_Tb2Pm4Y
_cell_length_a 16.567
_cell_length_b 6.895
_cell_length_c 11.575
_cell_angle_alpha 90.00
_cell_angle_beta 134.30
_cell_angle_gamma 90.00
_symmetry_space_group_name_H-M 'C 1 2 1'
_symmetry_Int_Tables_number 5
_symmetry_space_group_name_Hall 'C 2y'
loop_
_atom_site_label
_atom_site_type_symbol
_atom_site_fract_x
_atom_site_fract_y
_atom_site_fract_z
Tb1 Tb 0.000 0.000 0.000
Tb2 Tb 0.000 0.001 0.500
Tb3 Tb 0.218 0.920 0.469
Pm1 Pm 0.000 0.693 0.251
Pm2 Pm 0.001 0.258 0.250
Pm3 Pm 0.160 0.533 0.660
Pm4 Pm 0.160 0.534 0.160
Y1 Y 0.218 0.920 0.968

---

No. 3
# Tb2PmY4 PBE optimized geometry
# DFT formation energy: 0.03 eV per atom
# magnetic moment: 0.0 μB/cell
# Fermi-level density of states: 11.01 states/eV/f.u.
data_Tb2PmY4
_cell_length_a 16.772
_cell_length_b 3.559
_cell_length_c 8.794
_cell_angle_alpha 90.00
_cell_angle_beta 119.54
_cell_angle_gamma 90.00
_symmetry_space_group_name_H-M 'C 1 2/m 1'
_symmetry_Int_Tables_number 12
_symmetry_space_group_name_Hall '-C 2y'
loop_
_atom_site_label
_atom_site_type_symbol
_atom_site_fract_x
_atom_site_fract_y
_atom_site_fract_z
Tb1 Tb 0.070 0.000 0.430
Pm1 Pm 0.000 0.000 0.000
Y1 Y 0.142 0.500 0.835
Y2 Y 0.205 0.500 0.294

---

No. 4
# Tb8PmY3 PBE optimized geometry
# DFT formation energy: 0.65 eV per atom
# magnetic moment: 0.0 μB/cell
# Fermi-level density of states: 18.66 states/eV/f.u.
data_Tb8PmY3
_cell_length_a 8.696
_cell_length_b 8.696
_cell_length_c 11.379
_cell_angle_alpha 90.00
_cell_angle_beta 90.00
_cell_angle_gamma 90.00
_symmetry_space_group_name_H-M 'I -4 2 m'
_symmetry_Int_Tables_number 121
_symmetry_space_group_name_Hall 'I -4 2'
loop_
_atom_site_label
_atom_site_type_symbol
_atom_site_fract_x
_atom_site_fract_y
_atom_site_fract_z
Tb1 Tb 0.126 0.126 0.251
Tb2 Tb 0.249 0.249 0.503
Pm1 Pm 0.000 0.000 0.500
Y1 Y 0.000 0.000 0.000
Y2 Y 0.000 0.500 0.250

---

No. 5
# Tb5Pm2Y5 PBE optimized geometry
# DFT formation energy: 0.02 eV per atom
# magnetic moment: 0.0 μB/cell
# Fermi-level density of states: 17.79 states/eV/f.u.
data_Tb5Pm2Y5
_cell_length_a 15.178
_cell_length_b 5.062
_cell_length_c 11.328
_cell_angle_alpha 90.00
_cell_angle_beta 116.54
_cell_angle_gamma 90.00
_symmetry_space_group_name_H-M 'C 1 2/m 1'
_symmetry_Int_Tables_number 12
_symmetry_space_group_name_Hall '-C 2y'
loop_
_atom_site_label
_atom_site_type_symbol
_atom_site_fract_x
_atom_site_fract_y
_atom_site_fract_z
Tb1 Tb 0.000 0.000 0.000
Tb2 Tb 0.167 0.000 0.500
Tb3 Tb 0.249 0.000 0.250
Pm1 Pm 0.083 0.000 0.749
Y1 Y 0.000 0.500 0.500
Y2 Y 0.084 0.500 0.250
Y3 Y 0.167 0.500 0.000

---

No. 6
# Tb15Pm4Y PBE optimized geometry
# DFT formation energy: 0.02 eV per atom
# magnetic moment: 0.0 μB/cell
# Fermi-level density of states: 27.14 states/eV/f.u.
data_Tb15Pm4Y
_cell_length_a 5.067
_cell_length_b 5.067
_cell_length_c 25.297
_cell_angle_alpha 90.00
_cell_angle_beta 90.00
_cell_angle_gamma 90.00
_symmetry_space_group_name_H-M 'P 4/m m m'
_symmetry_Int_Tables_number 123
_symmetry_space_group_name_Hall '-P 4 2'
loop_
_atom_site_label
_atom_site_type_symbol
_atom_site_fract_x
_atom_site_fract_y
_atom_site_fract_z
Tb1 Tb 0.000 0.000 0.000
Tb2 Tb 0.000 0.000 0.199
Tb3 Tb 0.000 0.000 0.400
Tb4 Tb 0.000 0.500 0.099
Tb5 Tb 0.000 0.500 0.300
Tb6 Tb 0.000 0.500 0.500
Pm1 Pm 0.500 0.500 0.200
Pm2 Pm 0.500 0.500 0.400
Y1 Y 0.500 0.500 0.000

---

No. 7
# TbPmY PBE optimized geometry
# DFT formation energy: 0.11 eV per atom
# magnetic moment: 0.0 μB/cell
# Fermi-level density of states: 6.25 states/eV/f.u.
data_TbPmY
_cell_length_a 4.211
_cell_length_b 4.211
_cell_length_c 11.171
_cell_angle_alpha 90.00
_cell_angle_beta 90.00
_cell_angle_gamma 90.00
_symmetry_space_group_name_H-M 'I 4 m m'
_symmetry_Int_Tables_number 107
_symmetry_space_group_name_Hall 'I 4 -2'
loop_
_atom_site_label
_atom_site_type_symbol
_atom_site_fract_x
_atom_site_fract_y
_atom_site_fract_z
Tb1 Tb 0.000 0.000 0.000
Pm1 Pm 0.000 0.000 0.671
Y1 Y 0.000 0.000 0.340

---

No. 8
# Tb5Pm6Y2 PBE optimized geometry
# DFT formation energy: 0.10 eV per atom
# magnetic moment: 0.0 μB/cell
# Fermi-level density of states: 15.32 states/eV/f.u.
data_Tb5Pm6Y2
_cell_length_a 11.760
_cell_length_b 20.576
_cell_length_c 3.623
_cell_angle_alpha 90.00
_cell_angle_beta 90.00
_cell_angle_gamma 90.00
_symmetry_space_group_name_H-M 'P b a m'
_symmetry_Int_Tables_number 55
_symmetry_space_group_name_Hall '-P 2 2ab'
loop_
_atom_site_label
_atom_site_type_symbol
_atom_site_fract_x
_atom_site_fract_y
_atom_site_fract_z
Tb1 Tb 0.000 0.000 0.000
Tb2 Tb 0.092 0.275 0.000
Tb3 Tb 0.199 0.554 0.000
Pm1 Pm 0.059 0.420 0.500
Pm2 Pm 0.081 0.133 0.500
Pm3 Pm 0.175 0.866 0.000
Y1 Y 0.167 0.711 0.500

---

What is the DFT formation energy in the second record?
0.17 eV per atom

---

What is the formula in the first record?
Tb2Pm3Y3